[1]
ZrZnPd2 | PBE-GGA | optimized geometry

Unit cell a=3.053 b=3.053 c=7.095 alpha=90.00 beta=90.00 gamma=90.00
Space group P4/mmm (No. 123)
Asymmetric unit:
Zr: 0.000 0.000 0.000 (multiplicity 1)
Zn: 0.000 0.000 0.500 (multiplicity 1)
Pd: 0.500 0.500 0.277 (multiplicity 2)

## Properties
For the formation energy, the calculation gives -0.597 eV/atom.

[2]
ZrZnPd | PBE-GGA | optimized geometry

Unit cell a=4.377 b=9.058 c=5.339 alpha=90.00 beta=90.00 gamma=90.00
Space group Cmcm (No. 63)
Asymmetric unit:
Zr: 0.000 0.200 0.250 (multiplicity 4)
Zn: 0.000 0.500 0.000 (multiplicity 4)
Pd: 0.000 0.109 0.750 (multiplicity 4)

## Properties
For the formation energy, the calculation gives -0.572 eV/atom.

[3]
Zr3Pd | PBE-GGA | optimized geometry

Unit cell a=5.050 b=5.896 c=5.524 alpha=90.00 beta=90.00 gamma=90.00
Space group Pmmn (No. 59, origin choice 2)
Asymmetric unit:
Zr: 0.250 0.001 0.124 (multiplicity 4)
Zr: 0.250 0.750 0.608 (multiplicity 2)
Pd: 0.250 0.250 0.651 (multiplicity 2)

## Properties
For the formation energy, the calculation gives -0.215 eV/atom.

[4]
ZrPd2 | PBE-GGA | optimized geometry

Unit cell a=6.251 b=6.251 c=6.251 alpha=90.00 beta=90.00 gamma=90.00
Space group Fm-3m (No. 225)
Asymmetric unit:
Zr: 0.000 0.000 0.000 (multiplicity 4)
Pd: 0.250 0.250 0.250 (multiplicity 8)

## Properties
For the formation energy, the calculation gives -0.274 eV/atom.

Ordered magnetic moment results: 0.0405, 0.0029, 0.0011, 0.0001; unit μB/atom.